Compound: KAg3
Source: Alexandria via LeMat-Bulk
Functional: PBE
Structure: relaxed

Structure (CIF):
```
data_KAg3
_symmetry_space_group_name_H-M 'P m -3 m'
_symmetry_Int_Tables_number 221
_symmetry_space_group_name_Hall '-P 4 2 3'
_cell_length_a 6.2106
_cell_length_b 6.2106
_cell_length_c 6.2106
_cell_angle_alpha 90.00
_cell_angle_beta 90.00
_cell_angle_gamma 90.00
loop_
_atom_site_label
_atom_site_fract_x
_atom_site_fract_y
_atom_site_fract_z
K1 0.0000 0.0000 0.0000
Ag1 0.0000 0.0000 0.5000
```

Computed properties:
D(E_F): 4.4 states/eV per cell
Crystal system: cubic
Density: 2.51 g cm⁻³
Electronic total energy: -1.150 eV per atom
Formation enthalpy at 0 K: 121.9 kJ per mole of atoms